The following is a PBE calculation of an optimized crystal structure of Cs12Bi5Au3, from Alexandria via LeMat-Bulk.

Computed properties:
**Density of states at the Fermi level**: 160.4 states/eV per cell
**Calculated total energy**: -2.032 eV/atom
**Calculated volume**: 70.89 Å³ per atom

The structure in CIF format:
```
data_Cs12Bi5Au3
_chemical_formula_sum 'Cs96 Bi40 Au24'
_space_group_name_H-M_alt 'I a -3 d'
_space_group_IT_number 230
_space_group_name_Hall '-I 4bd 2c 3'
_cell_length_a 22.4682
_cell_length_b 22.4682
_cell_length_c 22.4682
_cell_angle_alpha 90.00
_cell_angle_beta 90.00
_cell_angle_gamma 90.00
loop_
_atom_site_label
_atom_site_fract_x
_atom_site_fract_y
_atom_site_fract_z
_atom_site_occupancy
Cs1 0.0244 0.0796 0.6483 1
Bi1 0.0000 0.0000 0.0000 1
Bi2 0.0000 0.2500 0.3750 1
Au1 0.0000 0.2500 0.1250 1
```